First-principles (PBE) data for crystalline Sm12Rh5Pb at its relaxed geometry, as listed in Alexandria.

Results
DOS(E_F)   0.6854 states/eV/atom
Formation energy   -12.8 kcal/mol of atoms
Total magnetic moment   0.0 Bohr magnetons per cell

Lattice parameters (Å, degrees): 9.623 9.743 10.470 90.00 90.00 90.00
Space group Immm (No. 71)
Unique sites:
Sm: 0.000 0.189 0.220
Sm: 0.191 0.500 0.175
Sm: 0.212 0.321 0.500
Rh: 0.000 0.000 0.000
Rh: 0.000 0.343 0.000
Rh: 0.000 0.500 0.370
Pb: 0.000 0.000 0.500